Entry 1:
Y3AlTl: relaxed, PBEsol.

POSCAR file:
```
Y3AlTl
1.0
-0.005 -3.568 4.063
-3.292 -3.221 -2.833
4.290 -2.476 -2.169
Y Tl Al
3 1 1
direct
0.000 0.500 0.000
0.000 0.000 0.500
0.500 0.000 0.000
0.500 0.500 0.500
0.000 0.000 0.000
```

Size of the total moment in Bohr magnetons per cell: 0.0
Fermi-level density of states in states/eV per cell: 9.59
Energy relative to the elements in eV/atom: 0.1748

Entry 2:
LiBePCl2: relaxed, PBEsol.

POSCAR file:
```
LiBePCl2
1.0
-2.145 -2.470 2.794
3.729 -1.358 1.661
-0.081 3.676 3.188
P Li Be Cl
1 1 1 2
direct
0.000 0.000 0.500
0.000 0.000 0.000
0.500 0.500 0.500
0.000 0.500 0.000
0.500 0.000 0.000
```

Size of the total moment in Bohr magnetons per cell: 0.0
ΔE_f (raw) in eV per atom: 0.391
Fermi-level density of states in states/eV per cell: 3.53

Entry 3:
BaYRh: relaxed, PBEsol.

POSCAR file:
```
BaYRh
1.0
-3.725 0.154 3.318
-2.142 -4.235 1.545
0.743 -1.616 4.663
Ba Rh Y
1 1 1
direct
0.500 0.500 0.500
0.250 0.250 0.250
0.000 0.000 0.000
```

Size of the total moment in Bohr magnetons per cell: 0.0
Fermi-level density of states in states/eV per cell: 1.62
Energy relative to the elements in eV/atom: -0.1084